[1]
A plane-wave DFT calculation with GGA-PBE was carried out for Sc2CuI after structural relaxation.

Properties
excess energy over the best structure of this formula in the dataset: 0.000 eV/atom
formation energy from raw total energies: -220 meV/atom
SG: R-3m, No. 166
density of states at the Fermi level: 0.819 states/eV/atom

The structure in POSCAR format:
```
Sc2CuI
1.0
2.343 0.000 8.158
-1.171 2.029 8.158
-1.171 -2.029 8.158
I Sc Cu
1 2 1
direct
0.000 0.000 0.000 I
0.884 0.884 0.884 Sc
0.116 0.116 0.116 Sc
0.500 0.500 0.500 Cu
```

[2]
A plane-wave DFT calculation with GGA-PBE was carried out for SrV2Rh2 after structural relaxation.

Properties
excess energy over the best structure of this formula in the dataset: 0.029 eV/atom
SG: I4/mmm, No. 139
density of states at the Fermi level: 0.837 states/eV/atom
ΔE_f: 0.008 eV/atom

The structure in POSCAR format:
```
SrV2Rh2
1.0
-2.287 -3.769 -0.676
3.134 -1.390 -2.853
2.754 -4.633 1.796
Sr Rh V
1 2 2
direct
0.000 0.000 0.000 Sr
0.750 0.250 0.500 Rh
0.250 0.750 0.500 Rh
0.368 0.368 0.263 V
0.632 0.632 0.737 V
```

[3]
A plane-wave DFT calculation with GGA-PBE was carried out for La8In2Pd after structural relaxation.

Properties
SG: Immm, No. 71
density of states at the Fermi level: 1.320 states/eV/atom
ΔE_f: -0.312 eV/atom

The structure in POSCAR format:
```
La8In2Pd
1.0
5.415 0.000 -1.648
-1.082 6.257 -3.554
-0.032 1.226 9.618
La In Pd
8 2 1
direct
0.631 0.869 0.263 La
0.369 0.606 0.737 La
0.201 0.201 0.402 La
0.000 0.255 0.000 La
0.799 0.799 0.598 La
0.631 0.394 0.263 La
0.369 0.131 0.737 La
0.000 0.745 0.000 La
0.185 0.685 0.369 In
0.815 0.315 0.631 In
0.500 0.000 0.000 Pd
```

[4]
A plane-wave DFT calculation with GGA-PBE was carried out for In4Hg3Cl4 after structural relaxation.

Properties
formation energy from raw total energies: -570 meV/atom
SG: Amm2, No. 38

The structure in POSCAR format:
```
In4Hg3Cl4
1.0
4.678 0.000 0.000
-2.339 6.910 0.000
0.000 0.000 11.273
In Hg Cl
4 3 4
direct
0.704 0.407 0.760 In
0.704 0.407 0.240 In
0.002 0.003 0.500 In
0.980 0.960 0.000 In
0.360 0.721 0.348 Hg
0.360 0.721 0.652 Hg
0.303 0.606 0.000 Hg
0.634 0.268 0.500 Cl
0.603 0.205 0.000 Cl
0.074 0.149 0.754 Cl
0.074 0.149 0.246 Cl
```

[5]
A plane-wave DFT calculation with GGA-PBE was carried out for GaCoNi2H after structural relaxation.

Properties
excess energy over the best structure of this formula in the dataset: 0.213 eV/atom
SG: P4/mmm, No. 123
density of states at the Fermi level: 0.806 states/eV/atom

The structure in POSCAR format:
```
GaCoNi2H
1.0
-1.706 2.352 -1.962
-2.887 -1.984 0.131
-1.160 1.904 3.291
Ni Co Ga H
2 1 1 1
direct
0.000 0.500 0.000 Ni
0.500 0.000 0.000 Ni
0.500 0.500 0.500 Co
0.000 0.000 0.500 Ga
0.000 0.000 0.000 H
```

[6]
A plane-wave DFT calculation with GGA-PBE was carried out for NbHgS2 after structural relaxation.

Properties
formation energy from raw total energies: -746 meV/atom
SG: P1, No. 1
density of states at the Fermi level: 0.480 states/eV/atom

The structure in POSCAR format:
```
NbHgS2
1.0
3.357 0.000 -0.002
0.000 5.884 0.110
0.082 1.615 9.574
S Nb Hg
4 2 2
direct
0.529 0.749 0.906 S
0.537 0.513 0.580 S
0.036 0.013 0.580 S
0.028 0.250 0.906 S
0.033 0.631 0.743 Nb
0.532 0.131 0.743 Nb
0.230 0.245 0.249 Hg
0.253 0.748 0.237 Hg
```

[7]
A plane-wave DFT calculation with GGA-PBE was carried out for Th4BiC after structural relaxation.

Properties
SG: Pmmn, No. 59
density of states at the Fermi level: 1.128 states/eV/atom
ΔE_f: -0.046 eV/atom

The structure in POSCAR format:
```
Th4BiC
1.0
-0.589 4.894 0.801
-7.737 -0.778 -0.937
-0.950 -1.616 9.182
Th Bi C
8 2 2
direct
0.395 0.717 0.000 Th
0.895 0.439 0.000 Th
0.395 0.216 0.801 Th
0.895 0.784 0.699 Th
0.395 0.561 0.500 Th
0.895 0.283 0.500 Th
0.895 0.784 0.301 Th
0.395 0.216 0.199 Th
0.895 0.018 0.000 Bi
0.395 0.982 0.500 Bi
0.395 0.415 0.000 C
0.895 0.585 0.500 C
```

[8]
A plane-wave DFT calculation with GGA-PBE was carried out for Sm3Mg4Zn4 after structural relaxation.

Properties
SG: Immm, No. 71
density of states at the Fermi level: 0.850 states/eV/atom
ΔE_f: -0.207 eV/atom

The structure in POSCAR format:
```
Sm3Mg4Zn4
1.0
-1.010 -0.666 3.972
0.905 -7.886 -1.092
7.428 4.849 0.532
Sm Mg Zn
3 4 4
direct
0.115 0.115 0.230 Sm
0.885 0.885 0.770 Sm
0.000 0.500 0.000 Sm
0.328 0.138 0.656 Mg
0.672 0.482 0.344 Mg
0.672 0.862 0.344 Mg
0.328 0.518 0.656 Mg
0.233 0.733 0.467 Zn
0.767 0.267 0.533 Zn
0.500 0.806 0.000 Zn
0.500 0.194 0.000 Zn
```

[9]
A plane-wave DFT calculation with GGA-PBE was carried out for Ac4Pm5Sm after structural relaxation.

Properties
SG: P4/mmm, No. 123
density of states at the Fermi level: 2.026 states/eV/atom
ΔE_f: 0.106 eV/atom

The structure in POSCAR format:
```
Ac4Pm5Sm
1.0
4.405 0.000 0.000
0.000 4.405 0.000
0.000 0.000 19.719
Ac Pm Sm
4 5 1
direct
0.000 0.000 0.195 Ac
0.000 0.000 0.398 Ac
0.000 0.000 0.602 Ac
0.000 0.000 0.805 Ac
0.500 0.500 0.091 Pm
0.500 0.500 0.297 Pm
0.500 0.500 0.500 Pm
0.500 0.500 0.703 Pm
0.500 0.500 0.909 Pm
0.000 0.000 0.000 Sm
```

[10]
A plane-wave DFT calculation with GGA-PBE was carried out for LiReIrRh after structural relaxation.

Properties
SG: F-43m, No. 216
density of states at the Fermi level: 1.321 states/eV/atom
ΔE_f: 0.007 eV/atom

The structure in POSCAR format:
```
LiReIrRh
1.0
4.286 0.000 0.000
2.143 3.712 0.000
2.143 1.237 3.500
Re Ir Rh Li
1 1 1 1
direct
0.250 0.250 0.250 Re
0.000 0.000 0.000 Ir
0.500 0.500 0.500 Rh
0.750 0.750 0.750 Li
```

[11]
A plane-wave DFT calculation with GGA-PBE was carried out for Ba5Ge2 after structural relaxation.

Properties
excess energy over the best structure of this formula in the dataset: 0.000 eV/atom
SG: C2/c, No. 15
density of states at the Fermi level: 0.561 states/eV/atom
ΔE_f: -0.383 eV/atom

The structure in POSCAR format:
```
Ba5Ge2
1.0
7.883 0.000 0.000
0.000 8.500 0.198
-3.942 -1.074 9.292
Ba Ge
10 4
direct
0.212 0.430 0.178 Ba
0.033 0.070 0.822 Ba
0.221 0.683 0.560 Ba
0.661 0.817 0.440 Ba
0.779 0.317 0.440 Ba
0.339 0.183 0.560 Ba
0.967 0.930 0.178 Ba
0.788 0.570 0.822 Ba
0.555 0.250 0.000 Ba
0.445 0.750 0.000 Ba
0.168 0.438 0.786 Ge
0.382 0.062 0.214 Ge
0.832 0.562 0.214 Ge
0.618 0.938 0.786 Ge
```

[12]
A plane-wave DFT calculation with GGA-PBE was carried out for KAgHg2F8 after structural relaxation.

Properties
formation energy from raw total energies: -1547 meV/atom
SG: P-1, No. 2

The structure in POSCAR format:
```
KAgHg2F8
1.0
-1.894 3.924 -2.057
0.705 -2.360 -5.193
-6.776 -3.343 -0.165
K Ag Hg F
1 1 2 8
direct
0.000 0.000 0.500 K
0.000 0.000 0.000 Ag
0.500 0.500 0.761 Hg
0.500 0.500 0.239 Hg
0.001 0.762 0.210 F
0.501 0.748 0.025 F
0.999 0.238 0.175 F
0.999 0.238 0.790 F
0.499 0.252 0.975 F
0.001 0.762 0.825 F
0.501 0.738 0.539 F
0.499 0.262 0.461 F
```

What did the second record say?
A plane-wave DFT calculation with GGA-PBE was carried out for SrV2Rh2 after structural relaxation.

Properties
excess energy over the best structure of this formula in the dataset: 0.029 eV/atom
SG: I4/mmm, No. 139
density of states at the Fermi level: 0.837 states/eV/atom
ΔE_f: 0.008 eV/atom

The structure in POSCAR format:
```
SrV2Rh2
1.0
-2.287 -3.769 -0.676
3.134 -1.390 -2.853
2.754 -4.633 1.796
Sr Rh V
1 2 2
direct
0.000 0.000 0.000 Sr
0.750 0.250 0.500 Rh
0.250 0.750 0.500 Rh
0.368 0.368 0.263 V
0.632 0.632 0.737 V
```